A plane-wave DFT calculation with PBE+U was carried out for a relaxed structure of CoBr2F2.

## Properties
* D(E_F): 0.329 states/eV/atom
* calculated volume: 103.8 Å³/f.u.
* crystal system: tetragonal
* energy above the lowest structure with this stoichiometry: 0 meV/atom
* spin magnetization: 2.223 μB per formula unit
* raw total energy: -27.86 eV per cell

Geometry as CIF:
```
data_CoBr2F2
_chemical_formula_sum 'Co2 Br4 F4'
_cell_length_a 6.837
_cell_length_b 6.837
_cell_length_c 4.440
_cell_angle_alpha 90.00
_cell_angle_beta 90.00
_cell_angle_gamma 90.00
_space_group_name_H-M_alt 'P 4/m b m'
_space_group_IT_number 127
_space_group_name_Hall '-P 4 2ab'
loop_
_atom_site_label
_atom_site_fract_x
_atom_site_fract_y
_atom_site_fract_z
Co1 0.000 0.000 0.000
Br1 0.188 0.312 0.000
F1 0.195 0.305 0.500
```